This record from Alexandria describes a relaxed structure of TlCoNiF6. The functional is PBE with a Hubbard U.

SG: Imma
Total energy (eV/f.u.): -38.910
Fermi-level density of states (states/eV/cell): 0.0
Total magnetization (μB/f.u.): 1.92
Theoretical density (g/cm3): 5.6

Unit cell a=7.167 b=7.167 c=7.167 alpha=120.01 beta=119.89 gamma=90.08
Sites, in units of the cell vectors:
Tl 0.364 0.114 0.250
Tl 0.636 0.886 0.750
Co 0.000 0.500 0.500
Co 0.500 0.500 0.000
Ni 0.000 0.000 0.500
Ni 0.000 0.500 0.000
F 0.082 0.436 0.272
F 0.082 0.810 0.646
F 0.085 0.835 0.250
F 0.311 0.561 0.750
F 0.335 0.190 0.772
F 0.335 0.564 0.146
F 0.665 0.436 0.854
F 0.665 0.810 0.228
F 0.689 0.439 0.250
F 0.915 0.165 0.750
F 0.918 0.190 0.354
F 0.918 0.564 0.728